Entry 1:
# YTaOs2

A geometry-optimized YTaOs2 structure (PBE-GGA, Alexandria).

abc: 4.671 4.671 3.251
angles: 90.00 90.00 90.00
Space group P4/mmm (No. 123)
Asymmetric unit:
Y1 0.000 0.000 0.000 (multiplicity 1)
Ta1 0.500 0.500 0.000 (multiplicity 1)
Os1 0.000 0.500 0.500 (multiplicity 2)

density = 15.22 g/cm3
uncorrected energy = -10.351 eV/atom


Entry 2:
# LiZnCrOs

A geometry-optimized LiZnCrOs structure (PBE-GGA, Alexandria).

abc: 5.879 5.879 5.879
angles: 90.00 90.00 90.00
Space group F-43m (No. 216)
Asymmetric unit:
Li1 0.000 0.000 0.000 (multiplicity 4)
Zn1 0.250 0.250 0.750 (multiplicity 4)
Cr1 0.000 0.000 0.500 (multiplicity 4)
Os1 0.250 0.250 0.250 (multiplicity 4)

density = 10.28 g/cm3
uncorrected energy = -5.902 eV/atom


Entry 3:
# Pr2PdRh

A geometry-optimized Pr2PdRh structure (PBE-GGA, Alexandria).

abc: 5.857 4.488 7.865
angles: 90.00 109.92 90.00
Space group P2_1/m (No. 11)
Asymmetric unit:
Pr1 0.221 0.250 0.435 (multiplicity 2)
Pr2 0.228 0.250 0.927 (multiplicity 2)
Pd1 0.329 0.750 0.207 (multiplicity 2)
Rh1 0.324 0.750 0.709 (multiplicity 2)

density = 8.39 g/cm3
uncorrected energy = -6.261 eV/atom


Entry 4:
# CrTc2Ag

A geometry-optimized CrTc2Ag structure (PBE-GGA, Alexandria).

abc: 9.583 2.875 4.564
angles: 90.00 109.78 90.00
Space group C2/m (No. 12)
Asymmetric unit:
Cr1 0.000 0.000 0.000 (multiplicity 2)
Tc1 0.218 0.500 0.219 (multiplicity 4)
Ag1 0.000 0.500 0.500 (multiplicity 2)

density = 9.99 g/cm3
uncorrected energy = -7.859 eV/atom
offset from the most stable computed form = 138 meV/atom


Entry 5:
# Li2NdGa3

A geometry-optimized Li2NdGa3 structure (PBE-GGA, Alexandria).

abc: 10.519 8.742 4.895
angles: 90.00 90.00 90.00
Space group Cmcm (No. 63)
Asymmetric unit:
Li1 0.219 0.000 0.000 (multiplicity 8)
Nd1 0.000 0.320 0.250 (multiplicity 4)
Ga1 0.000 0.070 0.750 (multiplicity 4)
Ga2 0.187 0.272 0.750 (multiplicity 8)

density = 5.42 g/cm3
uncorrected energy = -3.354 eV/atom


Entry 6:
# Zr2UTa

A geometry-optimized Zr2UTa structure (PBE-GGA, Alexandria).

abc: 2.9913 2.9913 34.2718
angles: 90.00 90.00 120.00
Space group R-3m (No. 166, hexagonal axes)
Asymmetric unit:
Zr1 0.0000 0.0000 0.0830 (multiplicity 6)
U1 0.0000 0.0000 0.5000 (multiplicity 3)
Ta1 0.0000 0.0000 0.0000 (multiplicity 3)

density = 11.28 g/cm3
uncorrected energy = -9.577 eV/atom


| no. | E_form (eV per atom) |
| --- | --- |
| 1 | -0.16 |
| 2 | 0.11 |
| 3 | -0.73 |
| 4 | 0.44 |
| 5 | -0.41 |
| 6 | 0.48 |